The following is a PBE calculation of crystalline Ce3Tc2Sn3 at its relaxed geometry, from Alexandria via LeMat-Bulk.

POSCAR file:
```
Ce3Tc2Sn3
1.0
-3.4521 2.3503 2.4626
-3.0090 -3.9443 -0.4536
5.2684 -3.4017 5.8595
Ce Tc Sn
3 2 3
direct
0.1738 0.5757 0.3476 Ce
0.8262 0.4243 0.6524 Ce
0.0000 0.0000 0.0000 Ce
0.2078 0.1151 0.4156 Tc
0.7922 0.8849 0.5844 Tc
0.6325 0.0492 0.2649 Sn
0.5000 0.5000 0.0000 Sn
0.3675 0.9508 0.7351 Sn
```


The following is a PBE calculation of crystalline Ce8Tc2Sn at its relaxed geometry, from Alexandria via LeMat-Bulk.

Excess energy over the best structure of this formula in the dataset: 0.045 eV per atom

POSCAR file:
```
Ce8Tc2Sn
1.0
0.1185 0.2612 -5.2138
7.0801 -4.1384 -2.0580
0.0932 -7.7849 -1.3937
Ce Tc Sn
8 2 1
direct
0.9384 0.0900 0.2176 Ce
0.9384 0.3076 0.7824 Ce
0.3007 0.4182 0.0000 Ce
0.5000 0.7476 0.5049 Ce
0.5000 0.2524 0.4951 Ce
0.6993 0.5818 0.0000 Ce
0.0616 0.6924 0.2176 Ce
0.0616 0.9100 0.7824 Ce
0.0000 0.2934 0.4131 Tc
0.0000 0.7066 0.5869 Tc
0.5000 0.0000 0.0000 Sn
```


The following is a PBE calculation of crystalline Ce4TcSn at its relaxed geometry, from Alexandria via LeMat-Bulk.

POSCAR file:
```
Ce4TcSn
1.0
5.8438 -0.7091 0.0000
-2.3574 8.1393 0.0000
-1.7432 -3.7151 6.7067
Ce Tc Sn
8 2 2
direct
0.0175 0.1916 0.8300 Ce
0.8112 0.7068 0.6156 Ce
0.3125 0.6384 0.8300 Ce
0.3043 0.9087 0.6156 Ce
0.6957 0.0913 0.3844 Ce
0.6875 0.3616 0.1700 Ce
0.1888 0.2932 0.3844 Ce
0.9825 0.8084 0.1700 Ce
0.2703 0.0203 0.0406 Tc
0.7297 0.9797 0.9594 Tc
0.3689 0.6189 0.2378 Sn
0.6311 0.3811 0.7622 Sn
```


The following is a PBE calculation of crystalline Ce3Tc2Sn at its relaxed geometry, from Alexandria via LeMat-Bulk.

POSCAR file:
```
Ce3Tc2Sn
1.0
4.7895 0.0000 0.0000
0.0000 8.5119 -0.3495
-2.3947 -2.1208 7.2370
Ce Tc Sn
6 4 2
direct
0.2408 0.2038 0.4816 Ce
0.0653 0.7073 0.1305 Ce
0.3831 0.6250 0.7662 Ce
0.7592 0.7962 0.5184 Ce
0.6169 0.3750 0.2338 Ce
0.9347 0.2927 0.8695 Ce
0.1551 0.5210 0.3103 Tc
0.8449 0.4790 0.6897 Tc
0.9309 0.8526 0.8618 Tc
0.0691 0.1474 0.1382 Tc
0.4031 0.0252 0.8061 Sn
0.5969 0.9748 0.1939 Sn
```


The following is a PBE calculation of crystalline CeTcSn at its relaxed geometry, from Alexandria via LeMat-Bulk.

Excess energy over the best structure of this formula in the dataset: 0.328 eV per atom

POSCAR file:
```
CeTcSn
1.0
3.6188 0.0000 0.0000
0.0000 4.6912 0.0000
0.0000 -2.3456 4.0627
Sn Ce Tc
1 1 1
direct
0.1666 0.0000 0.0000 Sn
0.6666 0.6667 0.3333 Ce
0.1668 0.3333 0.6667 Tc
```


The following is a PBE calculation of crystalline Ce6Tc2Sn at its relaxed geometry, from Alexandria via LeMat-Bulk.

POSCAR file:
```
Ce6Tc2Sn
1.0
4.8993 0.0000 0.0000
-2.4497 5.2225 0.2370
0.0000 -1.0523 8.7668
Ce Tc Sn
6 2 1
direct
0.0568 0.1135 0.8654 Ce
0.6011 0.2022 0.1713 Ce
0.3989 0.7978 0.8287 Ce
0.7036 0.4071 0.6184 Ce
0.2964 0.5929 0.3816 Ce
0.9432 0.8865 0.1346 Ce
0.7330 0.4659 0.8833 Tc
0.2670 0.5341 0.1167 Tc
0.0000 0.0000 0.5000 Sn
```


The following is a PBE calculation of crystalline Ce4TcSn2 at its relaxed geometry, from Alexandria via LeMat-Bulk.

POSCAR file:
```
Ce4TcSn2
1.0
-2.4131 -2.6306 0.6005
6.8670 -5.7063 2.5974
-2.2891 3.2684 5.1193
Ce Tc Sn
4 1 2
direct
0.5000 0.0711 0.7873 Ce
0.0000 0.4157 0.2435 Ce
0.5000 0.0715 0.3555 Ce
0.0000 0.7271 0.8994 Ce
0.0000 0.0718 0.0717 Tc
0.5000 0.4065 0.7394 Sn
0.5000 0.7361 0.4034 Sn
```


The following is a PBE calculation of crystalline Ce7Tc2Sn3 at its relaxed geometry, from Alexandria via LeMat-Bulk.

POSCAR file:
```
Ce7Tc2Sn3
1.0
5.1059 0.0000 0.0000
0.0000 5.1879 0.0000
0.0000 -2.5940 12.8388
Ce Tc Sn
7 2 3
direct
0.0000 0.3896 0.7791 Ce
0.0000 0.7800 0.5600 Ce
0.0000 0.0000 0.0000 Ce
0.0000 0.6104 0.2209 Ce
0.5000 0.0948 0.1896 Ce
0.5000 0.9052 0.8104 Ce
0.0000 0.2200 0.4400 Ce
0.0000 0.8952 0.7904 Tc
0.0000 0.1048 0.2096 Tc
0.5000 0.5000 0.0000 Sn
0.5000 0.6905 0.3810 Sn
0.5000 0.3095 0.6190 Sn
```


The following is a PBE calculation of crystalline Ce8Tc2Sn at its relaxed geometry, from Alexandria via LeMat-Bulk.

Excess energy over the best structure of this formula in the dataset: 0.000 eV per atom

POSCAR file:
```
Ce8Tc2Sn
1.0
5.0937 0.0711 -1.5220
-0.8386 5.8492 -2.5288
-0.0298 0.4417 9.2018
Ce Tc Sn
8 2 1
direct
0.6363 0.3113 0.9091 Ce
0.9482 0.0159 0.5325 Ce
0.3244 0.3926 0.2857 Ce
0.7289 0.8994 0.0942 Ce
0.3647 0.8525 0.3658 Ce
0.9082 0.3959 0.4525 Ce
0.1365 0.5053 0.9091 Ce
0.5438 0.7144 0.7239 Ce
0.7824 0.6008 0.2015 Tc
0.4903 0.3083 0.6166 Tc
0.1364 0.0037 0.9091 Sn
```


The following is a PBE calculation of crystalline Ce8Tc3Sn2 at its relaxed geometry, from Alexandria via LeMat-Bulk.

POSCAR file:
```
Ce8Tc3Sn2
1.0
5.8525 0.0000 1.0182
0.0000 6.7413 0.0000
-1.2553 -3.3706 8.3743
Ce Tc Sn
8 3 2
direct
0.9095 0.5837 0.1674 Ce
0.0905 0.4163 0.8326 Ce
0.8489 0.1669 0.3338 Ce
0.1511 0.8331 0.6662 Ce
0.5952 0.6132 0.7944 Ce
0.5952 0.1812 0.7944 Ce
0.4048 0.8188 0.2056 Ce
0.4048 0.3868 0.2056 Ce
0.5000 0.0000 0.0000 Tc
0.0000 0.1991 0.0000 Tc
0.0000 0.8009 0.0000 Tc
0.3294 0.2520 0.5040 Sn
0.6706 0.7480 0.4960 Sn
```


The following is a PBE calculation of crystalline Ce3TcSn2 at its relaxed geometry, from Alexandria via LeMat-Bulk.

POSCAR file:
```
Ce3TcSn2
1.0
7.8263 0.0000 -0.5990
3.9131 5.4284 -0.2995
2.1005 0.0000 7.5890
Ce Tc Sn
6 2 4
direct
0.4593 0.6290 0.7672 Ce
0.3154 0.0000 0.1820 Ce
0.5407 0.3710 0.2328 Ce
0.9117 0.6290 0.2328 Ce
0.0883 0.3710 0.7672 Ce
0.6846 0.0000 0.8180 Ce
0.7212 0.5576 0.0000 Tc
0.2788 0.4424 0.0000 Tc
0.0000 0.0000 0.0000 Sn
0.5000 0.0000 0.5000 Sn
0.1309 0.7383 0.5000 Sn
0.8691 0.2617 0.5000 Sn
```


The following is a PBE calculation of crystalline Ce7Tc2Sn2 at its relaxed geometry, from Alexandria via LeMat-Bulk.

POSCAR file:
```
Ce7Tc2Sn2
1.0
6.9040 -0.0028 -0.9693
0.0028 6.7198 0.0031
-1.3976 -0.0022 6.8302
Ce Tc Sn
7 2 2
direct
0.0001 0.2684 0.5001 Ce
0.5001 0.7316 0.0001 Ce
0.9999 0.7316 0.4999 Ce
0.4999 0.2684 0.9999 Ce
0.0000 0.0000 0.0000 Ce
0.4999 0.7968 0.5001 Ce
0.5001 0.2032 0.4999 Ce
0.7348 0.9999 0.2652 Tc
0.2652 0.0001 0.7348 Tc
0.8195 0.5000 0.8195 Sn
0.1805 0.5000 0.1805 Sn
```


Energy of formation from the pure elements list, top to bottom, in eV/f.u.: -4.0; -1.3; -1.6; -1.4; -0.3; -2.3; -1.1; -3.6; -1.8; -1.3; -1.6; -1.5